Record 1
First-principles (SCAN) data for a PBEsol-optimized structure of LiCd2Pb, as listed in Alexandria via LeMat-Bulk.

Computed properties:
As for the crystal system: monoclinic. Its formation energy is -52 kJ/mol of formula units. The total energy comes out at -139.54 eV/f.u. The space-group type is P2/m.

Geometry as CIF:
```
data_LiCd2Pb
_cell_length_a 3.096
_cell_length_b 5.160
_cell_length_c 5.584
_cell_angle_alpha 90.00
_cell_angle_beta 90.00
_cell_angle_gamma 92.65
_space_group_name_H-M_alt 'P 1'
_space_group_IT_number 1
loop_
_space_group_symop_operation_xyz
'x,y,z'
loop_
_atom_site_label
_atom_site_fract_x
_atom_site_fract_y
_atom_site_fract_z
Cd1 0.264 0.241 0.000
Cd2 0.736 0.759 0.000
Li1 0.000 0.000 0.500
Pb1 0.500 0.500 0.500
```

Record 2
First-principles (SCAN) data for a PBEsol-optimized structure of HgOs2Pt, as listed in Alexandria via LeMat-Bulk.

Computed properties:
As for the crystal system: cubic. Its formation energy is 365 kJ/mol of formula units. The total energy comes out at -278.34 eV/f.u. The space-group type is F-43m.

Geometry as CIF:
```
data_HgOs2Pt
_cell_length_a 4.463
_cell_length_b 4.463
_cell_length_c 4.463
_cell_angle_alpha 60.00
_cell_angle_beta 60.00
_cell_angle_gamma 60.00
_space_group_name_H-M_alt 'P 1'
_space_group_IT_number 1
loop_
_space_group_symop_operation_xyz
'x,y,z'
loop_
_atom_site_label
_atom_site_fract_x
_atom_site_fract_y
_atom_site_fract_z
Os1 0.000 0.000 0.000
Os2 0.750 0.750 0.750
Pt1 0.250 0.250 0.250
Hg1 0.500 0.500 0.500
```

Record 3
First-principles (SCAN) data for a PBEsol-optimized structure of YAg2, as listed in Alexandria via LeMat-Bulk.

Computed properties:
As for the crystal system: hexagonal. Its formation energy is -91 kJ/mol of formula units. The total energy comes out at -91.52 eV/f.u. The space-group type is P6/mmm.

Geometry as CIF:
```
data_YAg2
_cell_length_a 3.331
_cell_length_b 4.672
_cell_length_c 4.672
_cell_angle_alpha 120.00
_cell_angle_beta 90.00
_cell_angle_gamma 90.00
_space_group_name_H-M_alt 'P 1'
_space_group_IT_number 1
loop_
_space_group_symop_operation_xyz
'x,y,z'
loop_
_atom_site_label
_atom_site_fract_x
_atom_site_fract_y
_atom_site_fract_z
Ag1 0.000 0.667 0.333
Ag2 0.000 0.333 0.667
Y1 0.500 0.000 0.000
```

Record 4
First-principles (SCAN) data for a PBEsol-optimized structure of La2RuBr, as listed in Alexandria via LeMat-Bulk.

Computed properties:
As for the crystal system: trigonal. As for the offset from the most stable computed form: 0 meV/atom. For the uncorrected formation energy, the calculation gives -1.0497 eV per atom. The total energy comes out at -144.69 eV/f.u. The space-group type is R-3m.

Geometry as CIF:
```
data_La2RuBr
_cell_length_a 4.092
_cell_length_b 4.092
_cell_length_c 8.083
_cell_angle_alpha 75.34
_cell_angle_beta 75.34
_cell_angle_gamma 60.00
_space_group_name_H-M_alt 'P 1'
_space_group_IT_number 1
loop_
_space_group_symop_operation_xyz
'x,y,z'
loop_
_atom_site_label
_atom_site_fract_x
_atom_site_fract_y
_atom_site_fract_z
Br1 0.500 0.500 0.500
Ru1 0.000 0.000 0.000
La1 0.732 0.732 0.803
La2 0.268 0.268 0.197
```

Record 5
First-principles (SCAN) data for a PBEsol-optimized structure of KTa2Cd, as listed in Alexandria via LeMat-Bulk.

Computed properties:
As for the crystal system: tetragonal. Its formation energy is 518 kJ/mol of formula units. The total energy comes out at -166.54 eV/f.u. The space-group type is I4/mmm.

Geometry as CIF:
```
data_KTa2Cd
_cell_length_a 4.030
_cell_length_b 4.030
_cell_length_c 6.066
_cell_angle_alpha 109.40
_cell_angle_beta 109.40
_cell_angle_gamma 90.00
_space_group_name_H-M_alt 'P 1'
_space_group_IT_number 1
loop_
_space_group_symop_operation_xyz
'x,y,z'
loop_
_atom_site_label
_atom_site_fract_x
_atom_site_fract_y
_atom_site_fract_z
Cd1 0.500 0.500 0.000
Ta1 0.750 0.250 0.500
Ta2 0.250 0.750 0.500
K1 0.000 0.000 0.000
```

Record 6
First-principles (SCAN) data for a PBEsol-optimized structure of CrFe2Mo, as listed in Alexandria via LeMat-Bulk.

Computed properties:
As for the crystal system: orthorhombic. As for the offset from the most stable computed form: 0 meV/atom. Its formation energy is 52 kJ/mol of formula units. The total energy comes out at -88.99 eV/f.u. The space-group type is Immm.

Geometry as CIF:
```
data_CrFe2Mo
_cell_length_a 2.986
_cell_length_b 3.962
_cell_length_c 4.745
_cell_angle_alpha 114.67
_cell_angle_beta 108.34
_cell_angle_gamma 90.00
_space_group_name_H-M_alt 'P 1'
_space_group_IT_number 1
loop_
_space_group_symop_operation_xyz
'x,y,z'
loop_
_atom_site_label
_atom_site_fract_x
_atom_site_fract_y
_atom_site_fract_z
Cr1 0.000 0.500 0.000
Fe1 0.746 0.746 0.492
Fe2 0.254 0.254 0.508
Mo1 0.500 0.000 0.000
```

Record 7
First-principles (SCAN) data for a PBEsol-optimized structure of Y3Sb4Pd8, as listed in Alexandria via LeMat-Bulk.

Computed properties:
As for the crystal system: cubic. For the uncorrected formation energy, the calculation gives -0.9301 eV per atom. The total energy comes out at -508.72 eV/f.u. The space-group type is Fm-3m.

Geometry as CIF:
```
data_Y3Sb4Pd8
_cell_length_a 9.234
_cell_length_b 9.234
_cell_length_c 9.234
_cell_angle_alpha 60.00
_cell_angle_beta 60.00
_cell_angle_gamma 60.00
_space_group_name_H-M_alt 'P 1'
_space_group_IT_number 1
loop_
_space_group_symop_operation_xyz
'x,y,z'
loop_
_atom_site_label
_atom_site_fract_x
_atom_site_fract_y
_atom_site_fract_z
Y1 0.275 0.725 0.725
Y2 0.725 0.725 0.275
Y3 0.275 0.275 0.725
Y4 0.725 0.275 0.275
Y5 0.275 0.725 0.275
Y6 0.725 0.275 0.725
Sb1 0.000 0.500 0.000
Sb2 0.000 0.000 0.000
Sb3 0.500 0.500 0.500
Sb4 0.500 0.000 0.000
Sb5 0.500 0.000 0.500
Sb6 0.000 0.500 0.500
Sb7 0.000 0.000 0.500
Sb8 0.500 0.500 0.000
Pd1 0.332 0.004 0.332
Pd2 0.668 0.996 0.668
Pd3 0.668 0.668 0.996
Pd4 0.996 0.668 0.668
Pd5 0.881 0.881 0.881
Pd6 0.668 0.668 0.668
Pd7 0.119 0.119 0.119
Pd8 0.357 0.881 0.881
Pd9 0.643 0.119 0.119
Pd10 0.332 0.332 0.004
Pd11 0.119 0.119 0.643
Pd12 0.119 0.643 0.119
Pd13 0.881 0.881 0.357
Pd14 0.004 0.332 0.332
Pd15 0.332 0.332 0.332
Pd16 0.881 0.357 0.881
```

Record 8
First-principles (SCAN) data for a PBEsol-optimized structure of Zn3CdSe, as listed in Alexandria via LeMat-Bulk.

Computed properties:
As for the crystal system: cubic. For the uncorrected formation energy, the calculation gives 0.5216 eV per atom. The total energy comes out at -88.43 eV/f.u. The space-group type is Pm-3m.

Geometry as CIF:
```
data_Zn3CdSe
_cell_length_a 4.872
_cell_length_b 4.872
_cell_length_c 4.872
_cell_angle_alpha 90.00
_cell_angle_beta 90.00
_cell_angle_gamma 90.00
_space_group_name_H-M_alt 'P 1'
_space_group_IT_number 1
loop_
_space_group_symop_operation_xyz
'x,y,z'
loop_
_atom_site_label
_atom_site_fract_x
_atom_site_fract_y
_atom_site_fract_z
Se1 0.000 0.000 0.000
Zn1 0.500 0.000 0.000
Zn2 0.000 0.500 0.000
Zn3 0.000 0.000 0.500
Cd1 0.500 0.500 0.500
```

Record 9
First-principles (SCAN) data for a PBEsol-optimized structure of LiSbPb2, as listed in Alexandria via LeMat-Bulk.

Computed properties:
As for the crystal system: orthorhombic. For the uncorrected formation energy, the calculation gives -0.1497 eV per atom. The total energy comes out at -191.81 eV/f.u. The space-group type is Pmm2.

Geometry as CIF:
```
data_LiSbPb2
_cell_length_a 3.441
_cell_length_b 4.305
_cell_length_c 7.046
_cell_angle_alpha 90.00
_cell_angle_beta 90.00
_cell_angle_gamma 90.00
_space_group_name_H-M_alt 'P 1'
_space_group_IT_number 1
loop_
_space_group_symop_operation_xyz
'x,y,z'
loop_
_atom_site_label
_atom_site_fract_x
_atom_site_fract_y
_atom_site_fract_z
Pb1 0.000 0.000 0.977
Pb2 0.500 0.500 0.261
Li1 0.500 0.500 0.722
Sb1 0.000 0.000 0.540
```

Record 10
First-principles (SCAN) data for a PBEsol-optimized structure of ScInTe2, as listed in Alexandria via LeMat-Bulk.

Computed properties:
As for the crystal system: tetragonal. For the uncorrected formation energy, the calculation gives -0.6558 eV per atom. The total energy comes out at -124.75 eV/f.u. The space-group type is I-42d.

Geometry as CIF:
```
data_ScInTe2
_cell_length_a 6.952
_cell_length_b 6.952
_cell_length_c 6.952
_cell_angle_alpha 71.49
_cell_angle_beta 70.05
_cell_angle_gamma 109.95
_space_group_name_H-M_alt 'P 1'
_space_group_IT_number 1
loop_
_space_group_symop_operation_xyz
'x,y,z'
loop_
_atom_site_label
_atom_site_fract_x
_atom_site_fract_y
_atom_site_fract_z
Te1 0.457 0.625 0.418
Te2 0.043 0.418 0.125
Te3 0.543 0.125 0.832
Te4 0.957 0.832 0.625
Sc1 0.500 0.750 0.750
Sc2 0.000 0.500 0.500
In1 0.000 0.000 0.000
In2 0.500 0.250 0.250
```